[1]
Material: Ag2PAuO4
Method: DFT, PBE-GGA
State: optimized geometry

Output
Formation energy (no corrections)   -873 meV per atom
Space-group type   I222, No. 23

Cell: 5.308 5.308 5.308 Å, 110.07 109.26 109.08°
Fractional coordinates of all 8 atoms:
Ag (0.248, 0.000, 0.248)
Ag (0.752, 0.000, 0.752)
P (0.500, 0.500, 0.000)
Au (0.000, 0.500, 0.500)
O (0.203, 0.208, 0.702)
O (0.494, 0.792, 0.996)
O (0.506, 0.501, 0.298)
O (0.797, 0.499, 0.004)

---

[2]
Material: Pa4Co12B3Ir
Method: DFT, PBE-GGA
State: optimized geometry

Output
Formation enthalpy at 0 K   -0.168 eV/atom
Space-group type   Im-3m, No. 229

Cell: 7.070 7.070 7.070 Å, 109.47 109.47 109.47°
Fractional coordinates of all 20 atoms:
Pa (0.000, 0.000, 0.500)
Pa (0.000, 0.500, 0.000)
Pa (0.500, 0.000, 0.000)
Pa (0.500, 0.500, 0.500)
Co (0.000, 0.280, 0.280)
Co (0.000, 0.720, 0.720)
Co (0.250, 0.500, 0.750)
Co (0.250, 0.750, 0.500)
Co (0.280, 0.000, 0.280)
Co (0.280, 0.280, 0.000)
Co (0.500, 0.250, 0.750)
Co (0.500, 0.750, 0.250)
Co (0.720, 0.000, 0.720)
Co (0.720, 0.720, 0.000)
Co (0.750, 0.250, 0.500)
Co (0.750, 0.500, 0.250)
B (0.000, 0.500, 0.500)
B (0.500, 0.000, 0.500)
B (0.500, 0.500, 0.000)
Ir (0.000, 0.000, 0.000)

---

[3]
Material: Bi2PdPb
Method: DFT, PBE-GGA
State: optimized geometry

Output
Formation enthalpy at 0 K   -0.097 eV/atom
Space-group type   Cm, No. 8

Cell: 4.688 4.688 6.099 Å, 90.24 90.24 60.22°
Fractional coordinates of all 4 atoms:
Bi (0.000, 0.000, 0.000)
Bi (0.666, 0.666, 0.685)
Pd (0.999, 0.999, 0.503)
Pb (0.333, 0.333, 0.316)

---

[4]
Material: Pm2SmY3N6
Method: DFT, PBE-GGA
State: optimized geometry

Output
Formation energy (no corrections)   -1563 meV per atom
Space-group type   C2/m, No. 12

Cell: 6.135 6.135 6.138 Å, 99.59 99.59 120.00°
Fractional coordinates of all 12 atoms:
Pm (0.167, 0.833, 0.000)
Pm (0.833, 0.167, 0.000)
Sm (0.500, 0.500, 0.000)
Y (0.000, 0.000, 0.500)
Y (0.334, 0.666, 0.500)
Y (0.666, 0.334, 0.500)
N (0.082, 0.414, 0.743)
N (0.253, 0.253, 0.257)
N (0.414, 0.082, 0.743)
N (0.586, 0.918, 0.257)
N (0.747, 0.747, 0.743)
N (0.918, 0.586, 0.257)

---

[5]
Material: SrNi2Rh
Method: DFT, PBE-GGA
State: optimized geometry

Output
Formation enthalpy at 0 K   0.229 eV/atom
Relative energy among the computed polymorphs   1.36 eV per formula unit
Space-group type   I-42d, No. 122

Cell: 8.882 8.882 8.882 Å, 150.03 150.03 42.90°
Fractional coordinates of all 8 atoms:
Sr (0.000, 0.000, 0.000)
Sr (0.750, 0.250, 0.500)
Ni (0.336, 0.625, 0.211)
Ni (0.375, 0.586, 0.711)
Ni (0.414, 0.125, 0.789)
Ni (0.875, 0.664, 0.289)
Rh (0.250, 0.750, 0.500)
Rh (0.500, 0.500, 0.000)

---

[6]
Material: Pm4Nd2Sn3N2
Method: DFT, PBE-GGA
State: optimized geometry

Output
Formation energy (no corrections)   -958 meV per atom
Space-group type   I4/mmm, No. 139

Cell: 13.371 13.371 13.371 Å, 159.09 159.09 29.74°
Fractional coordinates of all 11 atoms:
Pm (0.084, 0.584, 0.500)
Pm (0.416, 0.916, 0.500)
Pm (0.584, 0.084, 0.500)
Pm (0.916, 0.416, 0.500)
Nd (0.193, 0.193, 0.000)
Nd (0.807, 0.807, 0.000)
Sn (0.324, 0.324, 0.000)
Sn (0.500, 0.500, 0.000)
Sn (0.676, 0.676, 0.000)
N (0.103, 0.103, 0.000)
N (0.897, 0.897, 0.000)

---

| no. | DFT total energy (eV/atom) |
| --- | --- |
| 1 | -5.150 |
| 2 | -7.775 |
| 3 | -4.263 |
| 4 | -8.527 |
| 5 | -4.920 |
| 6 | -6.158 |